{"formula": "VSeI2O", "functional": "PBE+U", "state": "relaxed", "space_group": "P4/mmm (123)", "m_tot_mub_per_fu": 3.74, "final_energy_ha_per_atom": -0.124, "volume_a3_per_atom": 26.19, "cell": [[5.8415, 0.0000, 0.0000], [0.0000, 5.8415, 0.0000], [0.0000, 0.0000, 3.8378]], "species": ["V", "Se", "I", "I", "O"], "fractional_positions": [[0.0000, 0.0000, 0.0000], [0.5000, 0.5000, 0.5000], [0.0000, 0.5000, 0.5000], [0.5000, 0.0000, 0.5000], [0.5000, 0.5000, 0.0000]]}